# Al7Co5 PBE-GGA relaxed
# Offset from the most stable computed form ... 0 meV/atom
# Energy ... -5.257 eV/atom
data_Al7Co5
_space_group_name_H-M_alt 'P 1'
_space_group_IT_number 1
_cell_length_a 4.857
_cell_length_b 4.857
_cell_length_c 15.616
_cell_angle_alpha 90.00
_cell_angle_beta 90.00
_cell_angle_gamma 120.00
loop_
_space_group_symop_operation_xyz
'x,y,z'
loop_
_atom_site_label
_atom_site_fract_x
_atom_site_fract_y
_atom_site_fract_z
_atom_site_occupancy
Al1 0.500 0.000 0.000 1
Al2 0.000 0.500 0.000 1
Al3 0.500 0.500 0.000 1
Al4 0.000 0.000 0.111 1
Al5 0.667 0.333 0.166 1
Al6 0.667 0.333 0.334 1
Al7 0.000 0.000 0.389 1
Al8 0.500 0.000 0.500 1
Al9 0.000 0.500 0.500 1
Al10 0.500 0.500 0.500 1
Al11 0.000 0.000 0.611 1
Al12 0.333 0.667 0.666 1
Al13 0.333 0.667 0.834 1
Al14 0.000 0.000 0.889 1
Co1 0.333 0.667 0.121 1
Co2 0.164 0.328 0.250 1
Co3 0.164 0.836 0.250 1
Co4 0.672 0.836 0.250 1
Co5 0.333 0.667 0.379 1
Co6 0.667 0.333 0.621 1
Co7 0.328 0.164 0.750 1
Co8 0.836 0.164 0.750 1
Co9 0.836 0.672 0.750 1
Co10 0.667 0.333 0.879 1